Record 1
A plane-wave DFT calculation with PBE-GGA was carried out for a relaxed K2LiRhBr6 crystal.

Calculated values
The raw formation energy is -1.104 eV/atom.

Geometry as CIF:
```
data_K2LiRhBr6
_symmetry_space_group_name_H-M 'P 1'
_symmetry_Int_Tables_number 1
_cell_length_a 7.429
_cell_length_b 7.428
_cell_length_c 10.508
_cell_angle_alpha 90.00
_cell_angle_beta 90.00
_cell_angle_gamma 90.00
loop_
_symmetry_equiv_pos_as_xyz
'x,y,z'
loop_
_atom_site_label
_atom_site_fract_x
_atom_site_fract_y
_atom_site_fract_z
_atom_site_occupancy
Br1 0.500 0.249 0.740 1
Br2 0.000 0.751 0.760 1
Br3 0.260 0.009 0.500 1
Br4 0.240 0.511 0.000 1
Br5 0.000 0.751 0.240 1
Br6 0.760 0.511 0.000 1
Br7 0.760 0.991 0.000 1
Br8 0.240 0.991 0.000 1
Br9 0.740 0.489 0.500 1
Br10 0.260 0.489 0.500 1
Br11 0.500 0.249 0.260 1
Br12 0.740 0.009 0.500 1
Rh1 0.000 0.751 0.000 1
Rh2 0.500 0.249 0.500 1
Li1 0.500 0.252 0.000 1
Li2 0.000 0.748 0.500 1
K1 0.500 0.751 0.250 1
K2 0.000 0.249 0.750 1
K3 0.500 0.751 0.750 1
K4 0.000 0.249 0.250 1
```


Record 2
A plane-wave DFT calculation with PBE-GGA was carried out for a relaxed KLiRuBr6 crystal.

Calculated values
The raw formation energy is -0.837 eV/atom.

Geometry as CIF:
```
data_KLiRuBr6
_symmetry_space_group_name_H-M 'P 1'
_symmetry_Int_Tables_number 1
_cell_length_a 6.833
_cell_length_b 6.833
_cell_length_c 7.285
_cell_angle_alpha 90.00
_cell_angle_beta 90.00
_cell_angle_gamma 59.99
loop_
_symmetry_equiv_pos_as_xyz
'x,y,z'
loop_
_atom_site_label
_atom_site_fract_x
_atom_site_fract_y
_atom_site_fract_z
_atom_site_occupancy
Li1 0.667 0.667 0.500 1
Br1 0.621 0.356 0.699 1
Br2 0.023 0.356 0.301 1
Br3 0.023 0.621 0.699 1
Br4 0.621 0.023 0.301 1
Br5 0.356 0.023 0.699 1
Br6 0.356 0.621 0.301 1
K1 0.000 0.000 0.000 1
Ru1 0.333 0.333 0.500 1
```


Record 3
A plane-wave DFT calculation with PBE-GGA was carried out for a relaxed KLi2SBr crystal.

Calculated values
The raw formation energy is -1.387 eV/atom. The energy above the lowest structure with this stoichiometry comes out at 0 meV per atom.

Geometry as CIF:
```
data_KLi2SBr
_symmetry_space_group_name_H-M 'P 1'
_symmetry_Int_Tables_number 1
_cell_length_a 4.280
_cell_length_b 7.264
_cell_length_c 8.511
_cell_angle_alpha 107.18
_cell_angle_beta 90.00
_cell_angle_gamma 90.00
loop_
_symmetry_equiv_pos_as_xyz
'x,y,z'
loop_
_atom_site_label
_atom_site_fract_x
_atom_site_fract_y
_atom_site_fract_z
_atom_site_occupancy
Li1 0.750 0.521 0.652 1
Li2 0.250 0.527 0.903 1
Li3 0.250 0.479 0.348 1
Li4 0.750 0.473 0.097 1
Br1 0.250 0.300 0.571 1
Br2 0.750 0.700 0.429 1
S1 0.250 0.309 0.070 1
S2 0.750 0.691 0.930 1
K1 0.750 0.060 0.810 1
K2 0.250 0.940 0.190 1
```


Record 4
A plane-wave DFT calculation with PBE-GGA was carried out for a relaxed K2LiSBr crystal.

Calculated values
The raw formation energy is -1.299 eV/atom.

Geometry as CIF:
```
data_K2LiSBr
_symmetry_space_group_name_H-M 'P 1'
_symmetry_Int_Tables_number 1
_cell_length_a 6.103
_cell_length_b 6.103
_cell_length_c 4.496
_cell_angle_alpha 90.00
_cell_angle_beta 90.00
_cell_angle_gamma 90.00
loop_
_symmetry_equiv_pos_as_xyz
'x,y,z'
loop_
_atom_site_label
_atom_site_fract_x
_atom_site_fract_y
_atom_site_fract_z
_atom_site_occupancy
K1 0.500 0.000 0.000 1
K2 0.000 0.500 0.000 1
S1 0.000 0.000 0.000 1
Li1 0.000 0.000 0.500 1
Br1 0.500 0.500 0.500 1
```


Record 5
A plane-wave DFT calculation with PBE-GGA was carried out for a relaxed KLi2SBr crystal.

Calculated values
The raw formation energy is -1.299 eV/atom. The energy above the lowest structure with this stoichiometry comes out at 88 meV per atom.

Geometry as CIF:
```
data_KLi2SBr
_symmetry_space_group_name_H-M 'P 1'
_symmetry_Int_Tables_number 1
_cell_length_a 4.654
_cell_length_b 4.654
_cell_length_c 6.341
_cell_angle_alpha 90.00
_cell_angle_beta 90.00
_cell_angle_gamma 90.00
loop_
_symmetry_equiv_pos_as_xyz
'x,y,z'
loop_
_atom_site_label
_atom_site_fract_x
_atom_site_fract_y
_atom_site_fract_z
_atom_site_occupancy
S1 0.000 0.000 0.000 1
Br1 0.500 0.500 0.500 1
K1 0.000 0.000 0.500 1
Li1 0.000 0.500 0.000 1
Li2 0.500 0.000 0.000 1
```


Record 6
A plane-wave DFT calculation with PBE-GGA was carried out for a relaxed K2LiSbBr6 crystal.

Calculated values
The raw formation energy is -1.251 eV/atom. The energy above the lowest structure with this stoichiometry comes out at 0 meV per atom.

Geometry as CIF:
```
data_K2LiSbBr6
_symmetry_space_group_name_H-M 'P 1'
_symmetry_Int_Tables_number 1
_cell_length_a 7.826
_cell_length_b 7.826
_cell_length_c 8.496
_cell_angle_alpha 62.58
_cell_angle_beta 62.58
_cell_angle_gamma 60.00
loop_
_symmetry_equiv_pos_as_xyz
'x,y,z'
loop_
_atom_site_label
_atom_site_fract_x
_atom_site_fract_y
_atom_site_fract_z
_atom_site_occupancy
Br1 0.471 0.684 0.751 1
Br2 0.572 0.203 0.225 1
Br3 0.684 0.093 0.751 1
Br4 0.001 0.572 0.225 1
Br5 0.203 0.001 0.225 1
Br6 0.093 0.471 0.751 1
K1 0.529 0.529 0.412 1
K2 0.030 0.030 0.910 1
Li1 0.751 0.751 0.747 1
Sb1 0.327 0.327 0.018 1
```